Here is a geometry-optimized BaNaP3H6O12 structure from Alexandria via LeMat-Bulk. Energies are from PBE.

a = 7.135 Å, b = 9.093 Å, c = 10.153 Å
α = 63.72°, β = 83.27°, γ = 77.18°
Sites, in units of the cell vectors:
Ba1 0.035 0.246 0.295
Ba2 0.965 0.754 0.705
Na1 0.199 0.364 0.625
Na2 0.801 0.636 0.375
P1 0.155 0.699 0.087
P2 0.230 0.771 0.328
P3 0.452 0.478 0.296
P4 0.548 0.522 0.704
P5 0.770 0.229 0.672
P6 0.845 0.301 0.913
H1 0.195 0.337 0.963
H2 0.269 0.020 0.622
H3 0.286 0.971 0.833
H4 0.297 0.937 0.507
H5 0.385 0.355 0.011
H6 0.474 0.046 0.751
H7 0.526 0.954 0.249
H8 0.615 0.645 0.989
H9 0.703 0.063 0.493
H10 0.714 0.029 0.167
H11 0.731 0.980 0.378
H12 0.805 0.663 0.037
O1 0.000 0.401 0.836
O2 0.000 0.599 0.164
O3 0.086 0.686 0.440
O4 0.152 0.798 0.924
O5 0.163 0.823 0.162
O6 0.202 0.992 0.557
O7 0.272 0.304 0.050
O8 0.287 0.922 0.324
O9 0.325 0.358 0.392
O10 0.331 0.066 0.750
O11 0.336 0.579 0.716
O12 0.368 0.577 0.128
O13 0.428 0.634 0.340
O14 0.572 0.366 0.660
O15 0.632 0.423 0.872
O16 0.664 0.421 0.284
O17 0.669 0.934 0.250
O18 0.675 0.642 0.608
O19 0.713 0.078 0.676
O20 0.728 0.696 0.950
O21 0.798 0.008 0.443
O22 0.837 0.177 0.838
O23 0.848 0.202 0.076
O24 0.914 0.314 0.560

- Crystal system: triclinic
- Raw total energy: -6.183 eV per atom